Entry 1:
# LaTbPm3Sc

LaTbPm3Sc after structural relaxation (PBE, Alexandria).

ΔE_f: 0.05 eV per atom
DFT total energy: -29.85 eV per formula unit

Unit cell a=5.115 b=7.975 c=10.713 alpha=115.95 beta=90.00 gamma=90.00
Atoms (fractional coordinates):
Pm 0.250 0.127 0.956
Tb 0.250 0.626 0.127
La 0.750 0.879 0.702
Sc 0.250 0.124 0.624
Pm 0.750 0.873 0.044
Pm 0.750 0.365 0.543
Pm 0.250 0.635 0.457
La 0.250 0.121 0.298
Pm 0.250 0.618 0.790
Pm 0.750 0.382 0.210
Sc 0.750 0.876 0.376
Tb 0.750 0.374 0.873

---

Entry 2:
# LaTb2Pm4Sc

LaTb2Pm4Sc after structural relaxation (PBE, Alexandria).

ΔE_f: 0.03 eV per atom
DFT total energy: -39.28 eV per formula unit

Unit cell a=5.073 b=11.389 c=5.066 alpha=63.58 beta=90.00 gamma=90.00
Atoms (fractional coordinates):
La 0.500 0.500 0.000
Pm 0.000 0.749 0.751
Pm 0.500 0.749 0.250
Tb 0.500 0.000 0.500
Sc 0.000 0.500 0.500
Tb 0.000 0.000 0.000
Pm 0.500 0.251 0.750
Pm 0.000 0.251 0.249

---

Entry 3:
# LaPmScTe3

LaPmScTe3 after structural relaxation (PBE, Alexandria).

energy relative to the elements, uncorrected: -125.3 kJ per mole of atoms
DFT total energy: -33.22 eV per formula unit

Unit cell a=4.373 b=9.124 c=9.950 alpha=105.38 beta=90.00 gamma=90.00
Last column: magnetic moment on the atom in μB.
Atoms (fractional coordinates):
Te 0.750 0.903 0.116  0.00
Te 0.750 0.245 0.499  -0.01
Te 0.250 0.755 0.501  -0.01
Sc 0.750 0.907 0.403  0.39
La 0.750 0.820 0.771  0.02
Te 0.750 0.426 0.182  0.00
Pm 0.750 0.341 0.850  0.06
La 0.250 0.180 0.229  0.02
Te 0.250 0.574 0.818  0.00
Te 0.250 0.097 0.884  0.00
Sc 0.250 0.093 0.597  0.39
Pm 0.250 0.659 0.150  0.06